[1]
A plane-wave DFT calculation with PBE-GGA was carried out for a relaxed structure of Li3Er2ZnNi12.

a = 11.706 Å, b = 11.706 Å, c = 11.706 Å
α = 25.08°, β = 25.08°, γ = 25.08°
Site moments in Bohr magnetons follow the coordinates.
Fractional positions:
1 Ni 0.386 0.892 0.892  0.24
2 Ni 0.892 0.892 0.386  0.24
3 Ni 0.614 0.108 0.108  0.24
4 Ni 0.870 0.400 0.400  0.45
5 Ni 0.600 0.130 0.600  0.45
6 Ni 0.108 0.108 0.614  0.24
7 Ni 0.108 0.614 0.108  0.24
8 Ni 0.400 0.400 0.870  0.45
9 Ni 0.400 0.870 0.400  0.45
10 Ni 0.892 0.386 0.892  0.24
11 Ni 0.130 0.600 0.600  0.45
12 Ni 0.600 0.600 0.130  0.45
13 Er 0.641 0.641 0.641  -0.08
14 Er 0.359 0.359 0.359  -0.08
15 Li 0.500 0.000 0.000  -0.01
16 Li 0.000 0.500 0.000  -0.01
17 Li 0.000 0.000 0.500  -0.01
18 Zn 0.000 0.000 0.000  -0.01

Properties
- VASP energy: -4.694 eV/atom
- Crystal system: trigonal
- Density of states at the Fermi level: 24.360 states/eV/f.u.

[2]
A plane-wave DFT calculation with PBE-GGA was carried out for a relaxed structure of BeRh3.

a = 3.740 Å, b = 3.740 Å, c = 3.740 Å
α = 90.00°, β = 90.00°, γ = 90.00°
Fractional positions:
1 Be 0.000 0.000 0.000
2 Rh 0.500 0.500 0.000
3 Rh 0.000 0.500 0.500
4 Rh 0.500 0.000 0.500

Properties
- VASP energy: -6.531 eV/atom
- Crystal system: cubic
- Density of states at the Fermi level: 4.726 states/eV/f.u.

[3]
A plane-wave DFT calculation with PBE-GGA was carried out for a relaxed structure of ZrBeCd.

a = 4.328 Å, b = 4.328 Å, c = 3.290 Å
α = 90.00°, β = 90.00°, γ = 120.00°
Fractional positions:
1 Be 0.000 0.000 0.166
2 Cd 0.667 0.333 0.167
3 Zr 0.333 0.667 0.667

Properties
- VASP energy: -4.358 eV/atom
- Energy relative to the lowest polymorph listed for this composition: 20.1 kJ/mol of atoms
- Crystal system: hexagonal
- Density of states at the Fermi level: 2.016 states/eV/f.u.

[4]
A plane-wave DFT calculation with PBE-GGA was carried out for a relaxed structure of Ta3TlZn.

a = 5.069 Å, b = 5.069 Å, c = 5.069 Å
α = 90.00°, β = 90.00°, γ = 90.00°
Fractional positions:
1 Ta 0.000 0.000 0.500
2 Ta 0.500 0.000 0.000
3 Ta 0.000 0.500 0.000
4 Zn 0.500 0.500 0.500
5 Tl 0.000 0.000 0.000

Properties
- VASP energy: -5.444 eV/atom
- Energy relative to the lowest polymorph listed for this composition: 113.1 kJ/mol of atoms
- Crystal system: cubic
- Density of states at the Fermi level: 1.759 states/eV/f.u.

[5]
A plane-wave DFT calculation with PBE-GGA was carried out for a relaxed structure of LiHoTmHg.

a = 5.176 Å, b = 5.176 Å, c = 5.176 Å
α = 60.00°, β = 60.00°, γ = 60.00°
Fractional positions:
1 Hg 0.750 0.750 0.750
2 Tm 0.500 0.500 0.500
3 Ho 0.000 0.000 0.000
4 Li 0.250 0.250 0.250

Properties
- VASP energy: -3.030 eV/atom
- Crystal system: cubic
- Density of states at the Fermi level: 4.338 states/eV/f.u.

[6]
A plane-wave DFT calculation with PBE-GGA was carried out for a relaxed structure of AcLa2Al2Ga2.

a = 4.482 Å, b = 4.482 Å, c = 10.882 Å
α = 78.11°, β = 78.11°, γ = 60.00°
Fractional positions:
1 Ac 0.000 0.000 0.000
2 Al 0.595 0.595 0.216
3 Al 0.405 0.405 0.784
4 Ga 0.744 0.744 0.769
5 Ga 0.256 0.256 0.231
6 La 0.865 0.865 0.405
7 La 0.135 0.135 0.595

Properties
- VASP energy: -4.351 eV/atom
- Crystal system: trigonal
- Density of states at the Fermi level: 5.472 states/eV/f.u.

[7]
A plane-wave DFT calculation with PBE-GGA was carried out for a relaxed structure of SmScAg4.

a = 3.692 Å, b = 5.256 Å, c = 7.498 Å
α = 79.29°, β = 104.32°, γ = 69.40°
Fractional positions:
1 Ag 0.821 0.510 0.650
2 Ag 0.648 0.016 0.810
3 Ag 0.354 0.978 0.186
4 Ag 0.182 0.485 0.347
5 Sc 0.001 0.997 0.498
6 Sm 0.501 0.497 0.998

Properties
- VASP energy: -4.008 eV/atom
- Energy relative to the lowest polymorph listed for this composition: 0.0 kJ/mol of atoms
- Crystal system: triclinic
- Density of states at the Fermi level: 2.799 states/eV/f.u.

[8]
A plane-wave DFT calculation with PBE-GGA was carried out for a relaxed structure of TbThSi2Ni2.

a = 4.043 Å, b = 4.043 Å, c = 8.031 Å
α = 90.00°, β = 90.00°, γ = 120.00°
Fractional positions:
1 Th 0.000 0.000 0.000
2 Si 0.667 0.333 0.743
3 Si 0.333 0.667 0.257
4 Ni 0.667 0.333 0.254
5 Ni 0.333 0.667 0.746
6 Tb 0.000 0.000 0.500

Properties
- VASP energy: -6.546 eV/atom
- Crystal system: trigonal
- Formation energy (no corrections): -0.80 eV per atom
- Density of states at the Fermi level: 5.485 states/eV/f.u.